Entry 1:
# PBE P3OsN, optimized geometry
# Density = 5.30 g/cm3
# Raw formation energy = 1.71 eV/atom
# E above lowest polymorph = 813 meV per atom
# Space group = No. 221
data_P3OsN
_chemical_formula_sum 'P3 Os1 N1'
_space_group_name_H-M_alt 'P 1'
_space_group_IT_number 1
_space_group_name_Hall 'P 1'
_cell_length_a 4.532
_cell_length_b 4.532
_cell_length_c 4.532
_cell_angle_alpha 90.00
_cell_angle_beta 90.00
_cell_angle_gamma 90.00
loop_
_atom_site_label
_atom_site_type_symbol
_atom_site_fract_x
_atom_site_fract_y
_atom_site_fract_z
Os1 Os 0.000 0.000 0.000
P1 P 0.000 0.500 0.000
P2 P 0.000 0.000 0.500
P3 P 0.500 0.000 0.000
N1 N 0.500 0.500 0.500


Entry 2:
# PBE P2OsN, optimized geometry
# Density = 7.17 g/cm3
# Raw formation energy = 0.08 eV/atom
# Space group = No. 8
data_P2OsN
_chemical_formula_sum 'P4 Os2 N2'
_space_group_name_H-M_alt 'P 1'
_space_group_IT_number 1
_space_group_name_Hall 'P 1'
_cell_length_a 9.132
_cell_length_b 2.815
_cell_length_c 4.878
_cell_angle_alpha 90.00
_cell_angle_beta 100.61
_cell_angle_gamma 90.00
loop_
_atom_site_label
_atom_site_type_symbol
_atom_site_fract_x
_atom_site_fract_y
_atom_site_fract_z
P1 P 0.540 0.000 0.167
P2 P 0.089 0.000 0.676
P3 P 0.089 0.500 0.176
P4 P 0.540 0.500 0.667
Os1 Os 0.283 0.500 0.577
Os2 Os 0.283 0.000 0.077
N1 N 0.629 0.500 0.364
N2 N 0.629 0.000 0.864


Entry 3:
# PBE PaPOsN, optimized geometry
# Density = 12.43 g/cm3
# Raw formation energy = -1.19 eV/atom
# Space group = No. 129
data_PaPOsN
_chemical_formula_sum 'Pa2 P2 Os2 N2'
_space_group_name_H-M_alt 'P 1'
_space_group_IT_number 1
_space_group_name_Hall 'P 1'
_cell_length_a 4.006
_cell_length_b 4.006
_cell_length_c 7.761
_cell_angle_alpha 90.00
_cell_angle_beta 90.00
_cell_angle_gamma 90.00
loop_
_atom_site_label
_atom_site_type_symbol
_atom_site_fract_x
_atom_site_fract_y
_atom_site_fract_z
Os1 Os 0.000 0.000 0.500
Os2 Os 0.500 0.500 0.500
P1 P 0.500 0.000 0.657
P2 P 0.000 0.500 0.343
Pa1 Pa 0.500 0.000 0.148
Pa2 Pa 0.000 0.500 0.852
N1 N 0.000 0.000 0.000
N2 N 0.500 0.500 0.000


Entry 4:
# PBE P2OsSN, optimized geometry
# Density = 6.10 g/cm3
# Raw formation energy = 0.10 eV/atom
# E above lowest polymorph = 98 meV per atom
# Space group = No. 8
data_P2OsSN
_chemical_formula_sum 'P4 Os2 S2 N2'
_space_group_name_H-M_alt 'P 1'
_space_group_IT_number 1
_space_group_name_Hall 'P 1'
_cell_length_a 5.825
_cell_length_b 2.827
_cell_length_c 11.035
_cell_angle_alpha 90.00
_cell_angle_beta 116.62
_cell_angle_gamma 90.00
loop_
_atom_site_label
_atom_site_type_symbol
_atom_site_fract_x
_atom_site_fract_y
_atom_site_fract_z
N1 N 0.767 0.500 0.559
N2 N 0.767 0.000 0.059
S1 S 0.236 0.000 0.803
S2 S 0.236 0.500 0.303
P1 P 0.522 0.500 0.620
P2 P 0.948 0.500 0.068
P3 P 0.948 0.000 0.568
P4 P 0.522 0.000 0.120
Os1 Os 0.194 0.000 0.457
Os2 Os 0.194 0.500 0.957


Entry 5:
# PBE POsSN2, optimized geometry
# Density = 8.51 g/cm3
# Raw formation energy = 1.45 eV/atom
# E above lowest polymorph = 483 meV per atom
# Space group = No. 123
data_POsSN2
_chemical_formula_sum 'P1 Os1 S1 N2'
_space_group_name_H-M_alt 'P 1'
_space_group_IT_number 1
_space_group_name_Hall 'P 1'
_cell_length_a 3.501
_cell_length_b 3.501
_cell_length_c 4.476
_cell_angle_alpha 90.00
_cell_angle_beta 90.00
_cell_angle_gamma 90.00
loop_
_atom_site_label
_atom_site_type_symbol
_atom_site_fract_x
_atom_site_fract_y
_atom_site_fract_z
S1 S 0.000 0.000 0.500
N1 N 0.000 0.500 0.000
N2 N 0.500 0.000 0.000
P1 P 0.000 0.000 0.000
Os1 Os 0.500 0.500 0.500


Entry 6:
# PBE P2OsSN, optimized geometry
# Density = 6.45 g/cm3
# Raw formation energy = 0.10 eV/atom
# E above lowest polymorph = 89 meV per atom
# Space group = No. 1
data_P2OsSN
_chemical_formula_sum 'P2 Os1 S1 N1'
_space_group_name_H-M_alt 'P 1'
_space_group_IT_number 1
_space_group_name_Hall 'P 1'
_cell_length_a 3.710
_cell_length_b 4.679
_cell_length_c 4.712
_cell_angle_alpha 109.88
_cell_angle_beta 90.91
_cell_angle_gamma 92.38
loop_
_atom_site_label
_atom_site_type_symbol
_atom_site_fract_x
_atom_site_fract_y
_atom_site_fract_z
Os1 Os 0.915 0.433 0.226
S1 S 0.408 0.073 0.071
P1 P 0.431 0.749 0.326
P2 P 0.843 0.342 0.690
N1 N 0.497 0.081 0.620


Entry 7:
# PBE P2OsSN, optimized geometry
# Density = 6.77 g/cm3
# Raw formation energy = 0.12 eV/atom
# E above lowest polymorph = 112 meV per atom
# Space group = No. 8
data_P2OsSN
_chemical_formula_sum 'P4 Os2 S2 N2'
_space_group_name_H-M_alt 'P 1'
_space_group_IT_number 1
_space_group_name_Hall 'P 1'
_cell_length_a 4.346
_cell_length_b 3.322
_cell_length_c 10.757
_cell_angle_alpha 90.00
_cell_angle_beta 109.67
_cell_angle_gamma 90.00
loop_
_atom_site_label
_atom_site_type_symbol
_atom_site_fract_x
_atom_site_fract_y
_atom_site_fract_z
Os1 Os 0.605 0.000 0.987
Os2 Os 0.605 0.500 0.487
S1 S 0.919 0.000 0.213
S2 S 0.919 0.500 0.713
P1 P 0.287 0.500 0.040
P2 P 0.296 0.500 0.260
P3 P 0.296 0.000 0.760
P4 P 0.287 0.000 0.540
N1 N 0.887 0.000 0.470
N2 N 0.887 0.500 0.970


Entry 8:
# PBE P2OsSN, optimized geometry
# Density = 4.86 g/cm3
# Raw formation energy = 1.67 eV/atom
# E above lowest polymorph = 1658 meV per atom
# Space group = No. 123
data_P2OsSN
_chemical_formula_sum 'P2 Os1 S1 N1'
_space_group_name_H-M_alt 'P 1'
_space_group_IT_number 1
_space_group_name_Hall 'P 1'
_cell_length_a 4.510
_cell_length_b 4.510
_cell_length_c 5.008
_cell_angle_alpha 90.00
_cell_angle_beta 90.00
_cell_angle_gamma 90.00
loop_
_atom_site_label
_atom_site_type_symbol
_atom_site_fract_x
_atom_site_fract_y
_atom_site_fract_z
Os1 Os 0.000 0.000 0.000
N1 N 0.500 0.500 0.500
P1 P 0.000 0.500 0.000
P2 P 0.500 0.000 0.000
S1 S 0.000 0.000 0.500


Entry 9:
# PBE P2OsSN, optimized geometry
# Density = 6.45 g/cm3
# Raw formation energy = 0.13 eV/atom
# E above lowest polymorph = 122 meV per atom
# Space group = No. 1
data_P2OsSN
_chemical_formula_sum 'P2 Os1 S1 N1'
_space_group_name_H-M_alt 'P 1'
_space_group_IT_number 1
_space_group_name_Hall 'P 1'
_cell_length_a 3.457
_cell_length_b 4.578
_cell_length_c 5.188
_cell_angle_alpha 79.72
_cell_angle_beta 72.08
_cell_angle_gamma 89.77
loop_
_atom_site_label
_atom_site_type_symbol
_atom_site_fract_x
_atom_site_fract_y
_atom_site_fract_z
N1 N 0.925 0.354 0.670
Os1 Os 0.196 0.480 0.236
P1 P 0.846 0.561 0.924
P2 P 0.659 0.024 0.744
S1 S 0.308 0.995 0.171


Entry 10:
# PBE POsS2N, optimized geometry
# Density = 5.98 g/cm3
# Raw formation energy = 0.78 eV/atom
# E above lowest polymorph = 0 meV per atom
# Space group = No. 123
data_POsS2N
_chemical_formula_sum 'P1 Os1 S2 N1'
_space_group_name_H-M_alt 'P 1'
_space_group_IT_number 1
_space_group_name_Hall 'P 1'
_cell_length_a 4.757
_cell_length_b 4.757
_cell_length_c 3.672
_cell_angle_alpha 90.00
_cell_angle_beta 90.00
_cell_angle_gamma 90.00
loop_
_atom_site_label
_atom_site_type_symbol
_atom_site_fract_x
_atom_site_fract_y
_atom_site_fract_z
S1 S 0.000 0.500 0.000
S2 S 0.500 0.000 0.000
P1 P 0.500 0.500 0.500
N1 N 0.000 0.000 0.500
Os1 Os 0.000 0.000 0.000


Entry 11:
# PBE P2OsSN, optimized geometry
# Density = 6.42 g/cm3
# Raw formation energy = 0.01 eV/atom
# E above lowest polymorph = 0 meV per atom
# Space group = No. 1
data_P2OsSN
_chemical_formula_sum 'P2 Os1 S1 N1'
_space_group_name_H-M_alt 'P 1'
_space_group_IT_number 1
_space_group_name_Hall 'P 1'
_cell_length_a 4.186
_cell_length_b 4.592
_cell_length_c 4.552
_cell_angle_alpha 62.69
_cell_angle_beta 89.71
_cell_angle_gamma 83.42
loop_
_atom_site_label
_atom_site_type_symbol
_atom_site_fract_x
_atom_site_fract_y
_atom_site_fract_z
P1 P 0.085 0.268 0.331
P2 P 0.719 0.909 0.576
S1 S 0.666 0.140 0.897
Os1 Os 0.104 0.471 0.745
N1 N 0.333 0.890 0.517


Entry 12:
# PBE POsS2N, optimized geometry
# Density = 5.27 g/cm3
# Raw formation energy = 1.77 eV/atom
# E above lowest polymorph = 987 meV per atom
# Space group = No. 123
data_POsS2N
_chemical_formula_sum 'P1 Os1 S2 N1'
_space_group_name_H-M_alt 'P 1'
_space_group_IT_number 1
_space_group_name_Hall 'P 1'
_cell_length_a 4.465
_cell_length_b 4.465
_cell_length_c 4.732
_cell_angle_alpha 90.00
_cell_angle_beta 90.00
_cell_angle_gamma 90.00
loop_
_atom_site_label
_atom_site_type_symbol
_atom_site_fract_x
_atom_site_fract_y
_atom_site_fract_z
S1 S 0.000 0.500 0.000
S2 S 0.500 0.000 0.000
N1 N 0.500 0.500 0.500
Os1 Os 0.000 0.000 0.000
P1 P 0.000 0.000 0.500